A plane-wave DFT calculation with PBE-GGA was carried out for an optimized crystal structure of CaNd14Dy.

Geometry as extended XYZ:
```
16
Lattice="7.140 0.125 0.000 -1.872 6.892 0.000 0.000 0.000 11.412" Properties=species:S:1:pos:R:3 pbc="T T T"
Ca 4.321 2.242 5.706
Nd -0.730 6.034 0.000
Nd 3.077 3.176 0.000
Nd 0.725 2.662 5.706
Nd -0.349 2.495 0.000
Nd 2.915 5.578 5.706
Nd 2.776 6.656 0.000
Nd 2.608 1.175 8.628
Nd 2.608 1.175 2.784
Nd 4.868 4.185 8.628
Nd 4.868 4.185 2.784
Nd 1.213 4.576 8.686
Nd 1.213 4.576 2.726
Nd 6.359 0.712 8.365
Nd 6.359 0.712 3.047
Dy -0.682 5.999 5.706
```

Results
Its crystal system is orthorhombic. The magnetization comes out at 0.00 μB/atom. The value obtained for the volume is 564.3 Å³/f.u. As for the electronic total energy: -4.52 eV per atom.